The following is a DFT calculation (PBE) of a relaxed BePdO crystal.

Unit cell a=3.358 b=3.358 c=6.779 alpha=90.00 beta=90.00 gamma=90.00
Positions (direct):
Be (0.250, 0.250, 0.002)
Be (0.750, 0.750, 0.998)
Pd (0.250, 0.250, 0.426)
Pd (0.750, 0.750, 0.574)
O (0.250, 0.750, 0.000)
O (0.750, 0.250, 0.000)

For the total energy, the calculation gives -5.73 eV per atom. Its raw formation energy is -1.109 eV/atom.